Density functional theory data (PBE) for crystalline HfTiSi2Se at its relaxed geometry.

Lattice parameters (Å, degrees): 4.7190 4.7190 5.0790 90.00 90.00 90.00
Positions (direct):
Hf 0.0000 0.0000 0.0000
Ti 0.0000 0.0000 0.5000
Si 0.0000 0.5000 0.5000
Si 0.5000 0.0000 0.5000
Se 0.5000 0.5000 0.0000

Values from the calculation:
The volume comes out at 22.62 A^3/atom. As for the symmetry: P4/mmm, No. 123. The value obtained for the density of states at the Fermi level is 4.755 states/eV/f.u. The calculation puts the electronic total energy at -28.93 eV per cell. Its magnetization is 0.00 μB/atom. Its uncorrected formation energy is 0.650 eV per atom.